# 1
DFT (GGA-PBE) results for crystalline TaTiN at its relaxed geometry.

Results
Offset from the most stable computed form in meV/atom: 42
E_form (uncorrected) in kcal/mol of atoms: -24.9
Total moment in μB/f.u.: 0.0

The structure in CIF format:
```
data_TaTiN
_symmetry_space_group_name_H-M 'P 4/m m m'
_symmetry_Int_Tables_number 123
_symmetry_space_group_name_Hall '-P 4 2'
_cell_length_a 2.952
_cell_length_b 2.952
_cell_length_c 4.410
_cell_angle_alpha 90.00
_cell_angle_beta 90.00
_cell_angle_gamma 90.00
loop_
_atom_site_label
_atom_site_type_symbol
_atom_site_fract_x
_atom_site_fract_y
_atom_site_fract_z
Ta1 Ta 0.000 0.000 0.000
Ti1 Ti 0.500 0.500 0.500
N1 N 0.000 0.000 0.500
```

***

# 2
DFT (GGA-PBE) results for crystalline In3W at its relaxed geometry.

Results
ΔH_f (0 K) in eV/atom: 0.633
Offset from the most stable computed form in meV/atom: 162
Total moment in μB/f.u.: 0.0

The structure in CIF format:
```
data_In3W
_symmetry_space_group_name_H-M 'P 4/m m m'
_symmetry_Int_Tables_number 123
_symmetry_space_group_name_Hall '-P 4 2'
_cell_length_a 5.289
_cell_length_b 5.289
_cell_length_c 3.041
_cell_angle_alpha 90.00
_cell_angle_beta 90.00
_cell_angle_gamma 90.00
loop_
_atom_site_label
_atom_site_type_symbol
_atom_site_fract_x
_atom_site_fract_y
_atom_site_fract_z
In1 In 0.000 0.000 0.000
In2 In 0.000 0.500 0.500
W1 W 0.500 0.500 0.000
```

***

# 3
DFT (GGA-PBE) results for crystalline TiMnMo at its relaxed geometry.

Results
ΔH_f (0 K) in eV/atom: 0.011
Offset from the most stable computed form in meV/atom: 71
Total moment in μB/f.u.: 0.0

The structure in CIF format:
```
data_TiMnMo
_symmetry_space_group_name_H-M 'P 1 21/c 1'
_symmetry_Int_Tables_number 14
_symmetry_space_group_name_Hall '-P 2ybc'
_cell_length_a 5.049
_cell_length_b 7.551
_cell_length_c 5.229
_cell_angle_alpha 90.00
_cell_angle_beta 120.99
_cell_angle_gamma 90.00
loop_
_atom_site_label
_atom_site_type_symbol
_atom_site_fract_x
_atom_site_fract_y
_atom_site_fract_z
Ti1 Ti 0.249 0.245 0.395
Mn1 Mn 0.250 0.565 0.055
Mo1 Mo 0.251 0.593 0.548
```

***

# 4
DFT (GGA-PBE) results for crystalline KRe2Ni at its relaxed geometry.

Results
ΔH_f (0 K) in eV/atom: 0.723
Offset from the most stable computed form in meV/atom: 29
Total moment in μB/f.u.: 0.6

The structure in CIF format:
```
data_KRe2Ni
_symmetry_space_group_name_H-M 'P 4 m m'
_symmetry_Int_Tables_number 99
_symmetry_space_group_name_Hall 'P 4 -2'
_cell_length_a 3.054
_cell_length_b 3.054
_cell_length_c 8.435
_cell_angle_alpha 90.00
_cell_angle_beta 90.00
_cell_angle_gamma 90.00
loop_
_atom_site_label
_atom_site_type_symbol
_atom_site_fract_x
_atom_site_fract_y
_atom_site_fract_z
K1 K 0.000 0.000 0.000
Re1 Re 0.000 0.000 0.477
Re2 Re 0.500 0.500 0.639
Ni1 Ni 0.500 0.500 0.301
```